No. 1
EuSb2Pb: optimized geometry, PBE.

a b c (Å): 5.5720 5.5720 5.5720
angles (deg): 60.00 60.00 60.00
Fractional positions:
Pb 0.0000 0.0000 0.0000
Eu 0.5000 0.5000 0.5000
Sb 0.2500 0.2500 0.2500
Sb 0.7500 0.7500 0.7500

Summary:
* space-group type: Fm-3m (225)
* total magnetic moment: 6.89 μB per formula unit
* uncorrected formation energy: -0.37 eV/atom



No. 2
Sc6SnPt5: optimized geometry, PBE.

a b c (Å): 4.8275 6.4890 7.5916
angles (deg): 90.00 109.68 90.00
Fractional positions:
Sc 0.8441 0.7460 0.6508
Sc 0.8441 0.2540 0.6508
Sc 0.5000 0.2635 0.0000
Sc 0.5000 0.7365 0.0000
Sc 0.1559 0.7460 0.3492
Sc 0.1559 0.2540 0.3492
Sn 0.0000 0.0000 0.0000
Pt 0.6249 0.5000 0.3300
Pt 0.3919 0.0000 0.6903
Pt 0.0000 0.5000 0.0000
Pt 0.6081 0.0000 0.3097
Pt 0.3751 0.5000 0.6700

Summary:
* space-group type: P2/m (10)
* energy of formation from the pure elements: -1114.9 meV/atom
* total magnetic moment: 0.00 μB per formula unit



No. 3
Ba3Nb2InO8: optimized geometry, PBE.

a b c (Å): 6.0458 6.0458 9.3628
angles (deg): 90.00 90.00 120.00
Fractional positions:
Ba 0.3333 0.6667 0.7017
Ba 0.6667 0.3333 0.2983
Ba 0.0000 0.0000 0.0000
Nb 0.3333 0.6667 0.1679
Nb 0.6667 0.3333 0.8321
In 0.0000 0.0000 0.5000
O 0.3333 0.6667 0.9662
O 0.6667 0.3333 0.0338
O 0.1663 0.8337 0.2382
O 0.8337 0.1663 0.7618
O 0.1663 0.3325 0.2382
O 0.8337 0.6675 0.7618
O 0.6675 0.8337 0.2382
O 0.3325 0.1663 0.7618

Summary:
* space-group type: P-3m1 (164)
* total magnetic moment: 1.04 μB per formula unit
* uncorrected formation energy: -2.41 eV/atom



No. 4
VSiGe3: optimized geometry, PBE.

a b c (Å): 4.7475 4.7475 4.7475
angles (deg): 90.00 90.00 90.00
Fractional positions:
Ge 0.0000 0.5000 0.0000
Ge 0.0000 0.0000 0.5000
Ge 0.5000 0.0000 0.0000
Si 0.5000 0.5000 0.5000
V 0.0000 0.0000 0.0000

Summary:
* space-group type: Pm-3m (221)
* total magnetic moment: 0.08 μB per formula unit
* uncorrected formation energy: 0.63 eV/atom



Taking the records one at a time from the top gives theoretical density values of 8.2 10.1 4.7 4.6 g/cm³.
Taking the records one at a time from the top gives DOS at the Fermi energy values of 0.66 0.47 0.16 1.02 states/eV per atom.